# 1
A PBEsol-optimized structure of LiLaOs4, computed with meta-GGA SCAN.

Cell lengths 7.4890, 7.4890, 7.4890 Å; angles 90.00, 90.00, 90.00 degrees
Space group F-43m (No. 216)
Asymmetric unit:
Li1 0.0000 0.0000 0.0000
La1 0.2500 0.2500 0.2500
Os1 0.1256 0.1256 0.6256

Output
As for the total energy: -55.307 eV/atom. For the size of the total moment, the calculation gives 0.00 μB/f.u. The calculated formation energy comes out at 0.20 eV per atom.

# 2
A PBEsol-optimized structure of Li2LaOs, computed with meta-GGA SCAN.

Cell lengths 2.7228, 2.7228, 9.7441 Å; angles 90.00, 90.00, 90.00 degrees
Space group P4/mmm (No. 123)
Asymmetric unit:
Li1 0.0000 0.0000 0.1982
La1 0.5000 0.5000 0.5000
Os1 0.5000 0.5000 0.0000

Output
As for the total energy: -29.403 eV/atom. For the size of the total moment, the calculation gives 0.00 μB/f.u. The calculated formation energy comes out at 0.54 eV per atom. The energy above the most stable polymorph in this dataset is 426 meV/atom.

# 3
A PBEsol-optimized structure of LiLa2P, computed with meta-GGA SCAN.

Cell lengths 4.1098, 4.2423, 11.0687 Å; angles 90.00, 90.00, 90.00 degrees
Space group Amm2 (No. 38)
Asymmetric unit:
Li1 0.0000 0.0000 0.0000
La1 0.0000 0.0000 0.6952
La2 0.5000 0.0000 0.4043
P1 0.5000 0.0000 0.1247

Output
As for the total energy: -25.576 eV/atom. For the size of the total moment, the calculation gives 1.16 μB/f.u. The calculated formation energy comes out at -0.83 eV per atom.